No. 1
Entry from Alexandria via LeMat-Bulk: crystalline Ac7PrSn2 at its relaxed geometry (PBE-GGA).

Values from the calculation:
The calculation puts the total magnetization at 0.0 μB/cell. Its formation energy from the elements is 1.4 eV per formula unit. The calculated total energy comes out at -4.0151 eV per atom.

Unit cell a=10.133 b=16.549 c=6.069 alpha=90.00 beta=90.00 gamma=90.00
Space group Cmmm (No. 65)
One atom of each set of equivalent atoms:
Ac (0.000, 0.000, 0.000) [2 per cell]
Ac (0.000, 0.259, 0.500) [4 per cell]
Ac (0.183, 0.374, 0.000) [8 per cell]
Pr (0.000, 0.500, 0.500) [2 per cell]
Sn (0.000, 0.195, 0.000) [4 per cell]



No. 2
Entry from Alexandria via LeMat-Bulk: crystalline HfPa3Si6 at its relaxed geometry (PBE-GGA).

Values from the calculation:
The calculation puts the total magnetization at 0.0 μB/cell. The calculated total energy comes out at -7.6110 eV per atom. The energy relative to the elements, uncorrected comes out at -513 meV/atom.

Unit cell a=11.0348 b=11.0348 c=11.0374 alpha=90.00 beta=90.00 gamma=120.00
Space group R-3c (No. 167, hexagonal axes)
One atom of each set of equivalent atoms:
Hf (0.0000, 0.0000, 0.0000) [6 per cell]
Pa (0.0000, 0.4377, 0.2500) [18 per cell]
Si (0.0713, 0.2153, 0.3384) [36 per cell]



No. 3
Entry from Alexandria via LeMat-Bulk: crystalline NaRe2RhO8 at its relaxed geometry (PBE-GGA).

Values from the calculation:
The calculation puts the total magnetization at 4.0 μB/cell. The calculated total energy comes out at -7.5196 eV per atom. The energy relative to the elements, uncorrected comes out at -1417 meV/atom.

Unit cell a=9.190 b=6.045 c=7.084 alpha=90.00 beta=90.11 gamma=90.00
Space group C2/m (No. 12)
One atom of each set of equivalent atoms:
Na (0.000, 0.000, 0.000) [2 per cell]
Re (0.146, 0.500, 0.742) [4 per cell]
Rh (0.000, 0.000, 0.500) [2 per cell]
O (0.036, 0.258, 0.727) [8 per cell]
O (0.227, 0.000, 0.444) [4 per cell]
O (0.242, 0.500, 0.956) [4 per cell]



No. 4
Entry from Alexandria via LeMat-Bulk: crystalline RhBrN3 at its relaxed geometry (PBE-GGA).

Values from the calculation:
The calculation puts the total magnetization at 0.0 μB/cell. The calculated total energy comes out at -3.9051 eV per atom. The energy relative to the elements, uncorrected comes out at 2895 meV/atom.

Unit cell a=3.855 b=3.855 c=3.855 alpha=90.00 beta=90.00 gamma=90.00
Space group Pm-3m (No. 221)
One atom of each set of equivalent atoms:
Rh (0.000, 0.000, 0.000) [1 per cell]
Br (0.500, 0.500, 0.500) [1 per cell]
N (0.000, 0.500, 0.500) [3 per cell]



No. 5
Entry from Alexandria via LeMat-Bulk: crystalline NaBe2B at its relaxed geometry (PBE-GGA).

Values from the calculation:
The calculation puts the total magnetization at 0.0 μB/cell. Its formation energy from the elements is 1.0 eV per formula unit. The calculated total energy comes out at -3.6127 eV per atom.

Unit cell a=3.585 b=4.986 c=6.592 alpha=108.90 beta=100.34 gamma=101.55
Space group P1 (No. 1)
One atom of each set of equivalent atoms:
Na (0.000, 0.000, 0.000) [1 per cell]
Na (0.435, 0.444, 0.883) [1 per cell]
Be (0.308, 0.083, 0.419) [1 per cell]
Be (0.324, 0.811, 0.618) [1 per cell]
Be (0.735, 0.805, 0.391) [1 per cell]
Be (0.868, 0.368, 0.412) [1 per cell]
B (0.164, 0.666, 0.300) [1 per cell]
B (0.380, 0.450, 0.396) [1 per cell]



No. 6
Entry from Alexandria via LeMat-Bulk: crystalline Eu3SeN at its relaxed geometry (PBE-GGA).

Values from the calculation:
The calculation puts the total magnetization at 21.8 μB/cell. The calculated total energy comes out at -9.5457 eV per atom. The energy relative to the elements, uncorrected comes out at -1019 meV/atom.

Unit cell a=4.992 b=4.992 c=4.992 alpha=90.00 beta=90.00 gamma=90.00
Space group Pm-3m (No. 221)
One atom of each set of equivalent atoms:
Eu (0.000, 0.000, 0.500) [3 per cell]
Se (0.500, 0.500, 0.500) [1 per cell]
N (0.000, 0.000, 0.000) [1 per cell]



No. 7
Entry from Alexandria via LeMat-Bulk: crystalline VSi2HgW at its relaxed geometry (PBE-GGA).

Values from the calculation:
The calculation puts the total magnetization at 3.0 μB/cell. The calculated total energy comes out at -5.1820 eV per atom. The energy relative to the elements, uncorrected comes out at 1462 meV/atom.

Unit cell a=4.500 b=4.500 c=5.047 alpha=90.00 beta=90.00 gamma=90.00
Space group P4/mmm (No. 123)
One atom of each set of equivalent atoms:
V (0.000, 0.000, 0.000) [1 per cell]
Si (0.000, 0.500, 0.000) [2 per cell]
Hg (0.000, 0.000, 0.500) [1 per cell]
W (0.500, 0.500, 0.500) [1 per cell]



No. 8
Entry from Alexandria via LeMat-Bulk: crystalline LuVOs2 at its relaxed geometry (PBE-GGA).

Values from the calculation:
The calculation puts the total magnetization at 0.0 μB/cell. The relative energy among the computed polymorphs comes out at 99 meV per atom. Its formation energy from the elements is -0.6 eV per formula unit. The calculated total energy comes out at -9.1811 eV per atom.

Unit cell a=6.344 b=6.344 c=6.344 alpha=90.00 beta=90.00 gamma=90.00
Space group Fm-3m (No. 225)
One atom of each set of equivalent atoms:
Lu (0.000, 0.000, 0.000) [4 per cell]
V (0.000, 0.000, 0.500) [4 per cell]
Os (0.250, 0.250, 0.250) [8 per cell]